(1)
Dy4Sb2PSe: relaxed, PBE.

- M_tot (μB/f.u.) = 0.000
- energy (eV/atom) = -5.861
- space-group type = P2/m (10)
- raw formation energy (eV per atom) = -1.418
- D(E_F) (states/eV/cell) = 1.5

```
8
Lattice="7.2835 0.0000 0.0000 0.0000 4.2000 0.0000 -2.4097 0.0000 6.9168" Properties=species:S:1:pos:R:3 pbc="T T T"
Dy 1.1607 0.0000 1.5859
Dy -0.0515 2.1000 5.2941
Dy 4.9254 2.1000 1.6227
Dy 3.7132 0.0000 5.3309
Sb -1.2048 0.0000 3.4584
Sb 2.4369 2.1000 3.4584
P 0.0000 2.1000 0.0000
Se 3.6418 0.0000 0.0000
```

=====

(2)
Dy4SbPSe2: relaxed, PBE.

- M_tot (μB/f.u.) = 0.000
- energy (eV/atom) = -5.949
- space-group type = P2/m (10)
- raw formation energy (eV per atom) = -1.585
- D(E_F) (states/eV/cell) = 3.4

```
8
Lattice="7.1458 0.0000 0.0000 0.0000 4.1317 0.0000 -2.4076 0.0000 6.8346" Properties=species:S:1:pos:R:3 pbc="T T T"
Dy 1.1414 0.0000 1.5674
Dy -0.0733 2.0659 5.2538
Dy 4.8116 2.0659 1.5807
Dy 3.5968 0.0000 5.2671
Sb -1.2038 0.0000 3.4173
P 0.0000 2.0659 0.0000
Se 3.5729 0.0000 0.0000
Se 2.3691 2.0659 3.4173
```

=====

(3)
Dy4SbTe2P: relaxed, PBE.

- M_tot (μB/f.u.) = 0.000
- energy (eV/atom) = -5.659
- space-group type = P2/m (10)
- raw formation energy (eV per atom) = -1.381
- D(E_F) (states/eV/cell) = 3.7

```
8
Lattice="7.4097 0.0000 0.0000 0.0000 4.2389 0.0000 -2.4407 0.0000 7.0898" Properties=species:S:1:pos:R:3 pbc="T T T"
Dy 1.1184 0.0000 1.5356
Dy -0.1239 2.1195 5.4856
Dy 5.0929 2.1195 1.6042
Dy 3.8506 0.0000 5.5542
Sb 3.7048 0.0000 0.0000
Te -1.2204 0.0000 3.5449
Te 2.4845 2.1195 3.5449
P 0.0000 2.1195 0.0000
```

=====

Which formula does entry 1 have?
Dy4Sb2PSe

=====

Which formula does entry 2 have?
Dy4SbPSe2

=====

Which value of M_tot does entry 1 give?
0.000 μB/f.u.